No. 1
LuPdNO, optimized geometry, DFT PBE; total energy = -6.96 eV per atom; crystal system = tetragonal; energy above the most stable polymorph in this dataset = 21.0 kJ per mole of atoms; magnetic moment = 0.00 μB per cell; symmetry = P4/nmm (129)
1.0
4.700 0.000 0.000
0.000 4.700 0.000
0.000 0.000 4.441
Lu Pd N O
2 2 2 2
direct
0.250 0.750 0.000
0.750 0.250 0.000
0.250 0.250 0.495
0.750 0.750 0.505
0.250 0.250 0.995
0.750 0.750 0.005
0.250 0.750 0.500
0.750 0.250 0.500

***

No. 2
LuPdNO, optimized geometry, DFT PBE; total energy = -7.09 eV per atom; crystal system = orthorhombic; energy above the most stable polymorph in this dataset = 8.4 kJ per mole of atoms; magnetic moment = 0.00 μB per cell; symmetry = Pmc2_1 (26)
1.0
4.040 0.000 0.000
0.000 6.939 0.000
0.000 0.000 4.217
Lu Pd N O
2 2 2 2
direct
0.000 0.185 0.000
0.000 0.815 0.500
0.500 0.385 0.495
0.500 0.615 0.995
0.500 0.321 0.994
0.500 0.679 0.494
0.000 0.126 0.500
0.000 0.874 0.000

***

No. 3
PrLuNO, optimized geometry, DFT PBE; total energy = -7.68 eV per atom; crystal system = tetragonal; energy above the most stable polymorph in this dataset = 11.3 kJ per mole of atoms; magnetic moment = 0.00 μB per cell; symmetry = P4/nmm (129)
1.0
4.718 0.000 0.000
0.000 4.718 0.000
0.000 0.000 5.875
Pr Lu N O
2 2 2 2
direct
0.250 0.750 0.000
0.750 0.250 0.000
0.250 0.250 0.471
0.750 0.750 0.529
0.250 0.250 0.120
0.750 0.750 0.880
0.250 0.750 0.500
0.750 0.250 0.500

***

No. 4
PrLuNO, optimized geometry, DFT PBE; total energy = -7.74 eV per atom; crystal system = orthorhombic; energy above the most stable polymorph in this dataset = 5.2 kJ per mole of atoms; magnetic moment = 0.01 μB per cell; symmetry = Pmc2_1 (26)
1.0
3.926 0.000 0.000
0.000 7.037 0.000
0.000 0.000 5.193
Pr Lu N O
2 2 2 2
direct
0.000 0.153 0.000
0.000 0.847 0.500
0.500 0.331 0.521
0.500 0.669 0.021
0.000 0.188 0.501
0.000 0.812 0.001
0.500 0.368 0.944
0.500 0.632 0.444

***

No. 5
PrLuNO, optimized geometry, DFT PBE; total energy = -7.49 eV per atom; crystal system = tetragonal; energy above the most stable polymorph in this dataset = 28.9 kJ per mole of atoms; magnetic moment = 0.01 μB per cell; symmetry = P4/nmm (129)
1.0
4.383 0.000 0.000
0.000 4.383 0.000
0.000 0.000 8.541
Pr Lu N O
2 2 2 2
direct
0.250 0.250 0.115
0.750 0.750 0.885
0.250 0.750 0.500
0.750 0.250 0.500
0.250 0.250 0.550
0.750 0.750 0.450
0.250 0.750 0.000
0.750 0.250 0.000

***

No. 6
PrLuNO, optimized geometry, DFT PBE; total energy = -7.79 eV per atom; crystal system = orthorhombic; energy above the most stable polymorph in this dataset = 0.0 kJ per mole of atoms; magnetic moment = 0.06 μB per cell; symmetry = Pca2_1 (29)
1.0
6.714 0.000 0.000
0.000 8.151 0.000
0.000 0.000 4.988
Pr Lu N O
4 4 4 4
direct
0.067 0.128 0.000
0.433 0.128 0.500
0.567 0.872 0.000
0.933 0.872 0.500
0.087 0.618 0.999
0.413 0.618 0.499
0.587 0.382 0.999
0.913 0.382 0.499
0.084 0.611 0.503
0.416 0.611 0.003
0.584 0.389 0.503
0.916 0.389 0.003
0.081 0.154 0.500
0.419 0.154 0.000
0.581 0.846 0.500
0.919 0.846 0.000

***

No. 7
LuReNO, optimized geometry, DFT PBE; total energy = -8.67 eV per atom; crystal system = orthorhombic; energy above the most stable polymorph in this dataset = 56.2 kJ per mole of atoms; magnetic moment = 0.00 μB per cell; symmetry = Pca2_1 (29)
1.0
6.181 0.000 0.000
0.000 7.370 0.000
0.000 0.000 4.676
Lu Re N O
4 4 4 4
direct
0.068 0.146 0.000
0.432 0.146 0.500
0.568 0.854 0.000
0.932 0.854 0.500
0.149 0.669 0.998
0.351 0.669 0.498
0.649 0.331 0.998
0.851 0.331 0.498
0.070 0.145 0.503
0.430 0.145 0.003
0.570 0.855 0.503
0.930 0.855 0.003
0.013 0.431 0.099
0.487 0.431 0.599
0.513 0.569 0.099
0.987 0.569 0.599

***

No. 8
LuReNO, optimized geometry, DFT PBE; total energy = -8.58 eV per atom; crystal system = orthorhombic; energy above the most stable polymorph in this dataset = 64.7 kJ per mole of atoms; magnetic moment = 0.02 μB per cell; symmetry = Pmc2_1 (26)
1.0
3.381 0.000 0.000
0.000 6.011 0.000
0.000 0.000 5.765
Lu Re N O
2 2 2 2
direct
0.000 0.172 0.000
0.000 0.828 0.500
0.500 0.239 0.467
0.500 0.761 0.967
0.000 0.220 0.614
0.000 0.780 0.114
0.500 0.358 0.147
0.500 0.642 0.647